VASP calculation (PBE) on NaCaNb after structural relaxation.

abc: 9.5692 3.3729 6.0487
angles: 73.83 108.40 100.03
Element x y z (fractional)
Na1 0.4036 0.8352 0.2308
Na2 0.5964 0.1648 0.7692
Nb1 0.0696 0.2075 0.1536
Nb2 0.9304 0.7925 0.8464
Ca1 0.1921 0.5135 0.6640
Ca2 0.8079 0.4865 0.3360

Summary:
Energy above the lowest structure with this stoichiometry ... 233.2 meV per atom
VASP energy ... -4.043 eV per atom
Magnetization ... 0.0 μB per cell
Calculated formation energy ... 40.61 kJ per mole of atoms